# MgZr2Ag2 (PBE-GGA, optimized geometry)
data_MgZr2Ag2
_chemical_formula_sum 'Mg2 Zr4 Ag4'
_symmetry_space_group_name_H-M 'I 4/m m m'
_symmetry_Int_Tables_number 139
_symmetry_space_group_name_Hall '-I 4 2'
_cell_length_a 4.096
_cell_length_b 4.096
_cell_length_c 13.600
_cell_angle_alpha 90.00
_cell_angle_beta 90.00
_cell_angle_gamma 90.00
loop_
_atom_site_label
_atom_site_type_symbol
_atom_site_fract_x
_atom_site_fract_y
_atom_site_fract_z
_atom_site_occupancy
Mg1 Mg 0.000 0.000 0.000 1
Zr1 Zr 0.000 0.500 0.250 1
Ag1 Ag 0.000 0.000 0.404 1
# Energy above the most stable polymorph in this dataset ... 0.194 eV/atom
# DOS at the Fermi energy ... 9.62 states/eV/cell

---

# MgZrAg (PBE-GGA, optimized geometry)
data_MgZrAg
_chemical_formula_sum 'Mg2 Zr2 Ag2'
_symmetry_space_group_name_H-M 'P 4/n m m'
_symmetry_Int_Tables_number 129
_cell_length_a 3.319
_cell_length_b 3.319
_cell_length_c 11.254
_cell_angle_alpha 90.00
_cell_angle_beta 90.00
_cell_angle_gamma 90.00
loop_
_symmetry_equiv_pos_as_xyz
'x,y,z'
'-x,-y,-z'
'-y+1/2,x,z'
'y+1/2,-x,-z'
'-x+1/2,-y+1/2,z'
'x+1/2,y+1/2,-z'
'y,-x+1/2,z'
'-y,x+1/2,-z'
'x+1/2,-y,-z'
'-x+1/2,y,z'
'-y,-x,-z'
'y,x,z'
'-x,y+1/2,-z'
'x,-y+1/2,z'
'y+1/2,x+1/2,-z'
'-y+1/2,-x+1/2,z'
loop_
_atom_site_label
_atom_site_type_symbol
_atom_site_fract_x
_atom_site_fract_y
_atom_site_fract_z
_atom_site_occupancy
Mg1 Mg 0.250 0.250 0.092 1
Zr1 Zr 0.250 0.250 0.409 1
Ag1 Ag 0.250 0.250 0.763 1
# DFT total energy ... -4.48 eV/atom
# DOS at the Fermi energy ... 1.08 states/eV/cell

---

# MgZr2Ag (PBE-GGA, optimized geometry)
data_MgZr2Ag
_chemical_formula_sum 'Mg2 Zr4 Ag2'
_symmetry_space_group_name_H-M 'I m m m'
_symmetry_Int_Tables_number 71
_symmetry_space_group_name_Hall '-I 2 2'
_cell_length_a 3.425
_cell_length_b 4.637
_cell_length_c 10.508
_cell_angle_alpha 90.00
_cell_angle_beta 90.00
_cell_angle_gamma 90.00
loop_
_atom_site_label
_atom_site_type_symbol
_atom_site_fract_x
_atom_site_fract_y
_atom_site_fract_z
_atom_site_occupancy
Mg1 Mg 0.000 0.000 0.000 1
Zr1 Zr 0.000 0.500 0.242 1
Ag1 Ag 0.000 0.000 0.500 1
# Energy above the most stable polymorph in this dataset ... 0.121 eV/atom
# DOS at the Fermi energy ... 7.63 states/eV/cell

---

What are the calculated volume values for these records? In order: 228.23; 123.98; 166.88 Å³ per cell.